Entry from Alexandria via LeMat-Bulk: an optimized crystal structure of CsNaVO3 (PBE+U).

Structure (POSCAR):
```
CsNaVO3
1.0
6.3688 0.0000 0.0000
-3.1844 5.5156 0.0000
0.0000 0.0000 6.9177
Cs Na V O
2 2 2 6
Direct
0.3333 0.6667 0.2500
0.6667 0.3333 0.7500
0.0000 0.0000 0.0000
0.0000 0.0000 0.5000
0.3333 0.6667 0.7500
0.6667 0.3333 0.2500
0.1760 0.3519 0.7500
0.1760 0.8240 0.7500
0.3519 0.1760 0.2500
0.6481 0.8240 0.7500
0.8240 0.1760 0.2500
0.8240 0.6481 0.2500
```

Results
As for the calculated volume: 243.0 Å³ per cell. Its crystal system is hexagonal. The spin magnetization is 0.1667 μB/atom. The value obtained for the calculated total energy is -34.6 eV per formula unit.